Record 1
The following is a DFT calculation (GGA-PBE) of La3Ag3Au2 after structural relaxation.

Calculated values
The relative energy among the computed polymorphs is 0.0 kJ per mole of atoms. As for the symmetry: P-62m, No. 189.

Structure (POSCAR):
```
La3Ag3Au2
1.0
7.661 0.000 0.000
-3.831 6.635 0.000
0.000 0.000 4.086
La Ag Au
3 3 2
Direct
0.000 0.613 0.000
0.387 0.387 0.000
0.613 0.000 0.000
0.000 0.228 0.500
0.228 0.000 0.500
0.772 0.772 0.500
0.333 0.667 0.500
0.667 0.333 0.500
```


Record 2
The following is a DFT calculation (GGA-PBE) of RuPb2BrO4 after structural relaxation.

Calculated values
The calculation puts the formation energy (no corrections) at -0.87 eV/atom. As for the symmetry: C2/m, No. 12.

Structure (POSCAR):
```
RuPb2BrO4
1.0
4.923 -1.709 0.000
4.923 1.709 0.000
-3.706 0.000 8.900
Ru Pb Br O
1 2 1 4
Direct
0.000 0.000 0.000
0.185 0.185 0.783
0.815 0.815 0.217
0.500 0.500 0.500
0.140 0.140 0.199
0.392 0.392 0.038
0.608 0.608 0.962
0.860 0.860 0.801
```


Record 3
The following is a DFT calculation (GGA-PBE) of CsTi3Re after structural relaxation.

Calculated values
The relative energy among the computed polymorphs is 0.0 kJ per mole of atoms. As for the symmetry: Pm-3m, No. 221.

Structure (POSCAR):
```
CsTi3Re
1.0
4.998 0.000 0.000
0.000 4.998 0.000
0.000 0.000 4.998
Cs Ti Re
1 3 1
Direct
0.000 0.000 0.000
0.000 0.500 0.500
0.500 0.000 0.500
0.500 0.500 0.000
0.500 0.500 0.500
```


Record 4
The following is a DFT calculation (GGA-PBE) of Er2PdPt9 after structural relaxation.

Calculated values
The relative energy among the computed polymorphs is 10.9 kJ per mole of atoms. As for the symmetry: R-3m, No. 166.

Structure (POSCAR):
```
Er2PdPt9
1.0
2.677 1.546 8.779
-2.677 1.546 8.779
0.000 -3.092 8.779
Er Pd Pt
2 1 9
Direct
0.134 0.134 0.134
0.866 0.866 0.866
0.000 0.000 0.000
0.081 0.588 0.588
0.333 0.333 0.333
0.412 0.412 0.919
0.412 0.919 0.412
0.500 0.500 0.500
0.588 0.081 0.588
0.588 0.588 0.081
0.667 0.667 0.667
0.919 0.412 0.412
```


Record 5
The following is a DFT calculation (GGA-PBE) of Ta2CrCo3 after structural relaxation.

Calculated values
The total DFT energy (no corrections) is -55.9 eV per cell. As for the symmetry: R-3m, No. 166.

Structure (POSCAR):
```
Ta2CrCo3
1.0
2.416 1.395 3.841
-2.416 1.395 3.841
0.000 -2.790 3.841
Ta Cr Co
2 1 3
Direct
0.126 0.126 0.126
0.874 0.874 0.874
0.500 0.500 0.500
0.000 0.500 0.500
0.500 0.000 0.500
0.500 0.500 0.000
```


Record 6
The following is a DFT calculation (GGA-PBE) of TaAgPb2 after structural relaxation.

Calculated values
The relative energy among the computed polymorphs is 9.4 kJ per mole of atoms. As for the symmetry: Cm, No. 8.

Structure (POSCAR):
```
TaAgPb2
1.0
5.697 -1.570 0.000
5.697 1.570 0.000
-1.511 0.000 5.075
Ta Ag Pb
1 1 2
Direct
0.000 0.000 0.000
0.707 0.707 0.341
0.250 0.250 0.876
0.470 0.470 0.487
```


Record 7
The following is a DFT calculation (GGA-PBE) of Er6TmCo3 after structural relaxation.

Calculated values
The total DFT energy (no corrections) is -108.0 eV per cell. As for the symmetry: Cmc2_1, No. 36.

Structure (POSCAR):
```
Er6TmCo3
1.0
5.676 -6.067 0.000
5.676 6.067 0.000
0.000 0.000 7.102
Er Tm Co
12 2 6
Direct
0.002 0.504 0.487
0.028 0.972 0.500
0.285 0.285 0.247
0.285 0.285 0.747
0.331 0.669 0.244
0.496 0.998 0.487
0.504 0.002 0.987
0.669 0.331 0.744
0.715 0.715 0.247
0.715 0.715 0.747
0.972 0.028 0.000
0.998 0.496 0.987
0.318 0.682 0.748
0.682 0.318 0.248
0.029 0.752 0.221
0.248 0.971 0.221
0.498 0.502 0.496
0.502 0.498 0.996
0.752 0.029 0.721
0.971 0.248 0.721
```


Record 8
The following is a DFT calculation (GGA-PBE) of CeNdLu4 after structural relaxation.

Calculated values
The total DFT energy (no corrections) is -26.9 eV per cell. As for the symmetry: F-43m, No. 216.

Structure (POSCAR):
```
CeNdLu4
1.0
0.000 4.662 4.662
4.662 0.000 4.662
4.662 4.662 0.000
Ce Nd Lu
1 1 4
Direct
0.000 0.000 0.000
0.250 0.250 0.250
0.124 0.625 0.625
0.625 0.124 0.625
0.625 0.625 0.124
0.625 0.625 0.625
```


Q: Which formula does entry 4 have?
A: Er2PdPt9


Please write out number 5 again, unchanged.
The following is a DFT calculation (GGA-PBE) of Ta2CrCo3 after structural relaxation.

Calculated values
The total DFT energy (no corrections) is -55.9 eV per cell. As for the symmetry: R-3m, No. 166.

Structure (POSCAR):
```
Ta2CrCo3
1.0
2.416 1.395 3.841
-2.416 1.395 3.841
0.000 -2.790 3.841
Ta Cr Co
2 1 3
Direct
0.126 0.126 0.126
0.874 0.874 0.874
0.500 0.500 0.500
0.000 0.500 0.500
0.500 0.000 0.500
0.500 0.500 0.000
```